1.
# CsOsN2 | the Alexandria database | GGA-PBE | optimized geometry
# Fermi-level density of states: 0.819 states/eV per atom
# E_tot: -76.1 eV per cell
# M_tot: 0.000 μB/f.u.
# Density: 8.46 g/cm³
data_CsOsN2
_space_group_name_H-M_alt 'P 1'
_space_group_IT_number 1
_space_group_name_Hall 'P 1'
_cell_length_a 3.364
_cell_length_b 3.364
_cell_length_c 21.095
_cell_angle_alpha 90.00
_cell_angle_beta 90.00
_cell_angle_gamma 120.00
loop_
_atom_site_label
_atom_site_fract_x
_atom_site_fract_y
_atom_site_fract_z
_atom_site_occupancy
Cs1 0.000 0.000 0.000 1
Cs2 0.333 0.667 0.667 1
Cs3 0.667 0.333 0.333 1
Os1 0.000 0.000 0.500 1
Os2 0.333 0.667 0.167 1
Os3 0.667 0.333 0.833 1
N1 0.000 0.000 0.131 1
N2 0.000 0.000 0.869 1
N3 0.333 0.667 0.535 1
N4 0.333 0.667 0.798 1
N5 0.667 0.333 0.202 1
N6 0.667 0.333 0.465 1

=====

2.
# CsPa2OsN5 | the Alexandria database | GGA-PBE | optimized geometry
# Fermi-level density of states: 0.468 states/eV per atom
# E_tot: -156.8 eV per cell
# M_tot: 0.000 μB/f.u.
# Density: 10.38 g/cm³
data_CsPa2OsN5
_space_group_name_H-M_alt 'P 1'
_space_group_IT_number 1
_space_group_name_Hall 'P 1'
_cell_length_a 7.590
_cell_length_b 7.590
_cell_length_c 7.590
_cell_angle_alpha 126.43
_cell_angle_beta 126.43
_cell_angle_gamma 79.18
loop_
_atom_site_label
_atom_site_fract_x
_atom_site_fract_y
_atom_site_fract_z
_atom_site_occupancy
Cs1 0.250 0.250 0.000 1
Cs2 0.750 0.750 0.000 1
Pa1 0.193 0.693 0.886 1
Pa2 0.307 0.193 0.500 1
Pa3 0.693 0.807 0.500 1
Pa4 0.807 0.307 0.114 1
Os1 0.250 0.750 0.500 1
Os2 0.750 0.250 0.500 1
N1 0.000 0.000 0.000 1
N2 0.007 0.243 0.500 1
N3 0.243 0.743 0.237 1
N4 0.257 0.493 0.500 1
N5 0.493 0.993 0.237 1
N6 0.500 0.500 0.000 1
N7 0.507 0.007 0.763 1
N8 0.743 0.507 0.500 1
N9 0.757 0.257 0.763 1
N10 0.993 0.757 0.500 1

=====

3.
# CsOsSN2 | the Alexandria database | GGA-PBE | optimized geometry
# Fermi-level density of states: 0.724 states/eV per atom
# E_tot: -29.5 eV per cell
# M_tot: 0.284 μB/f.u.
# Density: 7.66 g/cm³
data_CsOsSN2
_space_group_name_H-M_alt 'P 1'
_space_group_IT_number 1
_space_group_name_Hall 'P 1'
_cell_length_a 4.024
_cell_length_b 4.024
_cell_length_c 5.129
_cell_angle_alpha 90.00
_cell_angle_beta 90.00
_cell_angle_gamma 90.00
loop_
_atom_site_label
_atom_site_fract_x
_atom_site_fract_y
_atom_site_fract_z
_atom_site_occupancy
Cs1 0.000 0.000 0.000 1
Os1 0.500 0.500 0.500 1
S1 0.500 0.500 0.000 1
N1 0.000 0.500 0.500 1
N2 0.500 0.000 0.500 1

=====

4.
# CsOsSN2 | the Alexandria database | GGA-PBE | optimized geometry
# Fermi-level density of states: 0.965 states/eV per atom
# E_tot: -16.3 eV per cell
# M_tot: 4.505 μB/f.u.
# Density: 5.75 g/cm³
data_CsOsSN2
_space_group_name_H-M_alt 'P 1'
_space_group_IT_number 1
_space_group_name_Hall 'P 1'
_cell_length_a 4.131
_cell_length_b 4.131
_cell_length_c 6.489
_cell_angle_alpha 90.00
_cell_angle_beta 90.00
_cell_angle_gamma 90.00
loop_
_atom_site_label
_atom_site_fract_x
_atom_site_fract_y
_atom_site_fract_z
_atom_site_occupancy
Cs1 0.000 0.000 0.000 1
Os1 0.500 0.500 0.500 1
S1 0.000 0.000 0.500 1
N1 0.000 0.500 0.000 1
N2 0.500 0.000 0.000 1